HfSc2SbAu: single point on PBEsol structure, SCAN.

Geometry as POSCAR:
```
HfSc2SbAu
1.0
-2.2121 1.4502 -4.3016
-3.0464 -4.0218 0.2108
-3.3758 2.6957 2.6449
Sc Hf Au Sb
2 1 1 1
Direct
0.0000 0.5000 0.0000
0.5000 0.0000 0.0000
0.0000 0.0000 0.5000
0.0000 0.0000 0.0000
0.5000 0.5000 0.5000
```

Summary:
DOS at the Fermi energy = 0.5226 states/eV/atom
Calculated volume = 25.83 A^3/atom
Total magnetization = 0.000 μB per cell
Raw formation energy = -0.224 eV/atom